## P
An optimized crystal structure of LaScGe2. Source: Alexandria, functional PBE.

## Properties
Mass density in g cm⁻³: 5.9
Spin magnetization in Bohr magnetons per cell: 0.00

a b c (Å): 7.169 7.169 7.169
angles (deg): 90.00 90.00 90.00
Space group Fm-3m (No. 225)
Symmetry-distinct sites (fractional):
La (0.000, 0.000, 0.000) [4 per cell]
Sc (0.000, 0.000, 0.500) [4 per cell]
Ge (0.250, 0.250, 0.250) [8 per cell]

=====

## Q
An optimized crystal structure of LaScGe2. Source: Alexandria, functional PBE.

## Properties
Mass density in g cm⁻³: 5.6
Spin magnetization in Bohr magnetons per cell: 0.00

a b c (Å): 7.384 4.827 6.291
angles (deg): 90.00 119.37 90.00
Space group C2/m (No. 12)
Symmetry-distinct sites (fractional):
La (0.000, 0.000, 0.000) [2 per cell]
Sc (0.000, 0.500, 0.500) [2 per cell]
Ge (0.208, 0.000, 0.680) [4 per cell]

=====

## R
An optimized crystal structure of LaScGe2. Source: Alexandria, functional PBE.

## Properties
Mass density in g cm⁻³: 5.8
Spin magnetization in Bohr magnetons per cell: 0.00

a b c (Å): 8.341 4.025 11.235
angles (deg): 90.00 90.00 90.00
Space group Pnma (No. 62)
Symmetry-distinct sites (fractional):
La (0.130, 0.250, 0.135) [4 per cell]
Sc (0.009, 0.750, 0.392) [4 per cell]
Ge (0.164, 0.250, 0.811) [4 per cell]
Ge (0.237, 0.250, 0.444) [4 per cell]

=====

## S
An optimized crystal structure of LaScGe2. Source: Alexandria, functional PBE.

## Properties
Mass density in g cm⁻³: 4.9
Spin magnetization in Bohr magnetons per cell: 0.00

a b c (Å): 5.011 5.011 17.952
angles (deg): 90.00 90.00 90.00
Space group I-42d (No. 122)
Symmetry-distinct sites (fractional):
La (0.000, 0.000, 0.000) [4 per cell]
Sc (0.000, 0.000, 0.500) [4 per cell]
Ge (0.117, 0.250, 0.625) [8 per cell]

=====

Which structure wins on stability? R wins.

=====

## P
An optimized crystal structure of LaSc2Ge2. Source: Alexandria, functional PBE.

## Properties
Mass density in g cm⁻³: 4.5
Spin magnetization in Bohr magnetons per cell: 0.00

a b c (Å): 9.202 10.768 7.206
angles (deg): 90.00 129.36 90.00
Space group C2/c (No. 15)
Symmetry-distinct sites (fractional):
La (0.000, 0.125, 0.250) [4 per cell]
Sc (0.137, 0.375, 0.023) [8 per cell]
Ge (0.000, 0.158, 0.750) [4 per cell]
Ge (0.000, 0.408, 0.250) [4 per cell]

=====

## Q
An optimized crystal structure of LaSc2Ge2. Source: Alexandria, functional PBE.

## Properties
Mass density in g cm⁻³: 5.5
Spin magnetization in Bohr magnetons per cell: 0.00

a b c (Å): 8.251 8.251 3.310
angles (deg): 90.00 90.00 90.00
Space group P4/mbm (No. 127)
Symmetry-distinct sites (fractional):
La (0.000, 0.000, 0.000) [2 per cell]
Sc (0.145, 0.355, 0.500) [4 per cell]
Ge (0.151, 0.651, 0.000) [4 per cell]

=====

Which structure wins on stability? Q wins.

=====

## P
An optimized crystal structure of LaSc3Ge. Source: Alexandria, functional PBE.

## Properties
Mass density in g cm⁻³: 4.1
Spin magnetization in Bohr magnetons per cell: 0.00

a b c (Å): 5.176 5.176 5.176
angles (deg): 90.00 90.00 90.00
Space group Pm-3m (No. 221)
Symmetry-distinct sites (fractional):
La (0.000, 0.000, 0.000) [1 per cell]
Sc (0.000, 0.000, 0.500) [3 per cell]
Ge (0.500, 0.500, 0.500) [1 per cell]

=====

## Q
An optimized crystal structure of LaSc3Ge. Source: Alexandria, functional PBE.

## Properties
Mass density in g cm⁻³: 4.1
Spin magnetization in Bohr magnetons per cell: 0.00

a b c (Å): 5.211 5.211 5.211
angles (deg): 90.00 90.00 90.00
Space group Pm-3m (No. 221)
Symmetry-distinct sites (fractional):
La (0.000, 0.000, 0.000) [1 per cell]
Sc (0.000, 0.500, 0.500) [3 per cell]
Ge (0.500, 0.500, 0.500) [1 per cell]

=====

Which structure wins on stability? Q wins.

=====

## P
An optimized crystal structure of LaTlGeSe4. Source: Alexandria, functional PBE.

## Properties
Mass density in g cm⁻³: 5.7
Spin magnetization in Bohr magnetons per cell: 0.00

a b c (Å): 6.990 7.002 9.047
angles (deg): 90.00 106.88 90.00
Space group P2_1/m (No. 11)
Symmetry-distinct sites (fractional):
La (0.238, 0.250, 0.058) [2 per cell]
Tl (0.252, 0.250, 0.566) [2 per cell]
Ge (0.220, 0.750, 0.814) [2 per cell]
Se (0.006, 0.512, 0.226) [4 per cell]
Se (0.411, 0.750, 0.080) [2 per cell]
Se (0.421, 0.750, 0.645) [2 per cell]

=====

## Q
An optimized crystal structure of LaTlGeSe4. Source: Alexandria, functional PBE.

## Properties
Mass density in g cm⁻³: 5.9
Spin magnetization in Bohr magnetons per cell: 0.00

a b c (Å): 7.215 19.799 11.550
angles (deg): 90.00 90.00 90.00
Space group Pbca (No. 61)
Symmetry-distinct sites (fractional):
La (0.228, 0.065, 0.107) [8 per cell]
Tl (0.168, 0.198, 0.753) [8 per cell]
Ge (0.217, 0.111, 0.445) [8 per cell]
Se (0.036, 0.679, 0.996) [8 per cell]
Se (0.070, 0.582, 0.595) [8 per cell]
Se (0.093, 0.658, 0.296) [8 per cell]
Se (0.123, 0.006, 0.359) [8 per cell]

=====

Which structure wins on stability? Q wins.

=====

## P
An optimized crystal structure of La6Si2Ge. Source: Alexandria, functional PBE.

## Properties
Mass density in g cm⁻³: 6.0
Spin magnetization in Bohr magnetons per cell: 0.00

a b c (Å): 9.888 10.249 10.504
angles (deg): 90.00 90.00 90.00
Space group Immm (No. 71)
Symmetry-distinct sites (fractional):
La (0.000, 0.200, 0.248) [8 per cell]
La (0.213, 0.500, 0.176) [8 per cell]
La (0.234, 0.320, 0.500) [8 per cell]
Si (0.000, 0.378, 0.000) [4 per cell]
Si (0.000, 0.500, 0.387) [4 per cell]
Ge (0.000, 0.000, 0.000) [2 per cell]
Ge (0.000, 0.000, 0.500) [2 per cell]

=====

## Q
An optimized crystal structure of La6Si2Ge. Source: Alexandria, functional PBE.

## Properties
Mass density in g cm⁻³: 4.8
Spin magnetization in Bohr magnetons per cell: 0.00

a b c (Å): 7.266 7.266 12.737
angles (deg): 90.00 90.00 90.00
Space group P4_2/mnm (No. 136)
Symmetry-distinct sites (fractional):
La (0.205, 0.205, 0.000) [4 per cell]
La (0.208, 0.208, 0.331) [8 per cell]
Si (0.000, 0.000, 0.166) [4 per cell]
Ge (0.000, 0.000, 0.500) [2 per cell]

=====

Which structure wins on stability? P wins.

=====

## P
An optimized crystal structure of LaSiGe. Source: Alexandria, functional PBE.

## Properties
Mass density in g cm⁻³: 5.7
Spin magnetization in Bohr magnetons per cell: 0.00

a b c (Å): 4.105 4.325 7.806
angles (deg): 90.00 90.00 90.00
Space group Pmma (No. 51)
Symmetry-distinct sites (fractional):
La (0.250, 0.000, 0.239) [2 per cell]
Si (0.250, 0.500, 0.924) [2 per cell]
Ge (0.250, 0.500, 0.598) [2 per cell]

=====

## Q
An optimized crystal structure of LaSiGe. Source: Alexandria, functional PBE.

## Properties
Mass density in g cm⁻³: 5.4
Spin magnetization in Bohr magnetons per cell: 0.00

a b c (Å): 11.136 4.053 6.686
angles (deg): 90.00 103.98 90.00
Space group Cm (No. 8)
Symmetry-distinct sites (fractional):
La (0.000, 0.000, 0.000) [2 per cell]
La (0.246, 0.000, 0.536) [2 per cell]
Si (0.280, 0.000, 0.996) [2 per cell]
Si (0.458, 0.500, 0.478) [2 per cell]
Ge (0.060, 0.500, 0.671) [2 per cell]
Ge (0.254, 0.500, 0.189) [2 per cell]

=====

Which structure wins on stability? P wins.

=====

## P
An optimized crystal structure of LaSiGe. Source: Alexandria, functional PBE.

## Properties
Mass density in g cm⁻³: 5.7
Spin magnetization in Bohr magnetons per cell: 0.00

a b c (Å): 4.126 7.797 8.613
angles (deg): 90.00 90.00 90.00
Space group Immm (No. 71)
Symmetry-distinct sites (fractional):
La (0.000, 0.000, 0.249) [4 per cell]
Si (0.000, 0.348, 0.500) [4 per cell]
Ge (0.000, 0.323, 0.000) [4 per cell]

=====

## Q
An optimized crystal structure of LaSiGe. Source: Alexandria, functional PBE.

## Properties
Mass density in g cm⁻³: 5.8
Spin magnetization in Bohr magnetons per cell: 0.00

a b c (Å): 4.2810 4.2810 4.3395
angles (deg): 90.00 90.00 120.00
Space group P3m1 (No. 156)
Symmetry-distinct sites (fractional):
La (0.0000, 0.0000, 0.0000) [1 per cell]
Si (0.3333, 0.6667, 0.5130) [1 per cell]
Ge (0.6667, 0.3333, 0.4880) [1 per cell]

=====

Which structure wins on stability? P wins.

=====

## P
An optimized crystal structure of La3SiGe. Source: Alexandria, functional PBE.

## Properties
Mass density in g cm⁻³: 4.8
Spin magnetization in Bohr magnetons per cell: 0.00

a b c (Å): 5.620 5.620 5.620
angles (deg): 90.00 90.00 90.00
Space group Pm-3m (No. 221)
Symmetry-distinct sites (fractional):
La (0.000, 0.000, 0.500) [3 per cell]
Si (0.000, 0.000, 0.000) [1 per cell]
Ge (0.500, 0.500, 0.500) [1 per cell]

=====

## Q
An optimized crystal structure of La3SiGe. Source: Alexandria, functional PBE.

## Properties
Mass density in g cm⁻³: 5.4
Spin magnetization in Bohr magnetons per cell: 0.00

a b c (Å): 10.716 6.423 10.729
angles (deg): 90.00 119.90 90.00
Space group P2_1/c (No. 14)
Symmetry-distinct sites (fractional):
La (0.002, 0.003, 0.262) [4 per cell]
La (0.206, 0.744, 0.603) [4 per cell]
La (0.358, 0.250, 0.428) [4 per cell]
Si (0.319, 0.749, 0.409) [4 per cell]
Ge (0.147, 0.250, 0.074) [4 per cell]

=====

## R
An optimized crystal structure of La3SiGe. Source: Alexandria, functional PBE.

## Properties
Mass density in g cm⁻³: 6.0
Spin magnetization in Bohr magnetons per cell: 0.00

a b c (Å): 4.591 9.284 6.685
angles (deg): 90.00 90.00 90.00
Space group Pmmn (No. 59, origin choice 2)
Symmetry-distinct sites (fractional):
La (0.250, 0.048, 0.246) [4 per cell]
La (0.250, 0.250, 0.751) [2 per cell]
Si (0.250, 0.750, 0.944) [2 per cell]
Ge (0.250, 0.750, 0.560) [2 per cell]

=====

Which structure wins on stability? R wins.

=====

## P
An optimized crystal structure of LaSmGe2. Source: Alexandria, functional PBE.

## Properties
Mass density in g cm⁻³: 7.0
Spin magnetization in Bohr magnetons per cell: 0.00

a b c (Å): 4.098 6.023 8.346
angles (deg): 90.00 90.00 90.00
Space group Pmc2_1 (No. 26)
Symmetry-distinct sites (fractional):
La (0.000, 0.132, 0.000) [2 per cell]
Sm (0.500, 0.368, 0.637) [2 per cell]
Ge (0.000, 0.391, 0.358) [2 per cell]
Ge (0.500, 0.120, 0.282) [2 per cell]

=====

## Q
An optimized crystal structure of LaSmGe2. Source: Alexandria, functional PBE.

## Properties
Mass density in g cm⁻³: 6.6
Spin magnetization in Bohr magnetons per cell: 0.00

a b c (Å): 4.8007 4.8007 16.4651
angles (deg): 90.00 90.00 120.00
Space group R-3m (No. 166, hexagonal axes)
Symmetry-distinct sites (fractional):
La (0.0000, 0.0000, 0.0000) [3 per cell]
Sm (0.0000, 0.0000, 0.5000) [3 per cell]
Ge (0.0000, 0.0000, 0.2434) [6 per cell]

=====

Which structure wins on stability? P wins.